Record 1
Here is a geometry-optimized OsPt2Se structure from Alexandria via LeMat-Bulk. Energies are from PBE-GGA.

Fermi-level density of states, states/eV/cell: 8.009
Uncorrected formation energy, kJ per mole of atoms: 51.4

Lattice parameters (Å, degrees): 4.2237 4.2237 7.1106 90.00 90.00 90.00
With the nearest neighbours (Å) after each atom.
Space group I-4m2 (No. 119)
Inequivalent atoms, fractional coordinates:
1 Os 0.0000 0.0000 0.0000 [2 per cell]  4 Se 2.76, 8 Pt 2.76-2.99
2 Pt 0.0000 0.0000 0.5000 [2 per cell]  4 Se 2.76, 4 Pt 2.76, 4 Os 2.99
3 Pt 0.0000 0.5000 0.7500 [2 per cell]  4 Os 2.76, 4 Pt 2.76, 4 Se 2.99
4 Se 0.0000 0.5000 0.2500 [2 per cell]  4 Os 2.76, 8 Pt 2.76-2.99

***

Record 2
Here is a geometry-optimized OsPt2Se structure from Alexandria via LeMat-Bulk. Energies are from PBE-GGA.

Fermi-level density of states, states/eV/cell: 11.407
Uncorrected formation energy, kJ per mole of atoms: 61.9

Lattice parameters (Å, degrees): 4.0708 4.0708 7.7417 90.00 90.00 90.00
With the nearest neighbours (Å) after each atom.
Space group I4/mmm (No. 139)
Inequivalent atoms, fractional coordinates:
1 Os 0.0000 0.0000 0.0000 [2 per cell]  8 Pt 2.81, 4 Se 2.88
2 Pt 0.0000 0.5000 0.2500 [4 per cell]  4 Se 2.81, 4 Os 2.81, 4 Pt 2.88
3 Se 0.0000 0.0000 0.5000 [2 per cell]  8 Pt 2.81, 4 Os 2.88

***

Record 3
Here is a geometry-optimized OsPt2Se structure from Alexandria via LeMat-Bulk. Energies are from PBE-GGA.

Fermi-level density of states, states/eV/cell: 6.875
Uncorrected formation energy, kJ per mole of atoms: 30.1

Lattice parameters (Å, degrees): 2.8032 4.2823 11.8286 90.00 90.00 90.00
With the nearest neighbours (Å) after each atom.
Space group Imm2 (No. 44)
Inequivalent atoms, fractional coordinates:
1 Os 0.0000 0.0000 0.0000 [2 per cell]  2 Se 2.45, 4 Pt 2.66
2 Pt 0.0000 0.0000 0.5624 [2 per cell]  4 Os 2.66, 4 Pt 2.75-2.80
3 Pt 0.0000 0.5000 0.7077 [2 per cell]  4 Pt 2.75-2.80, 2 Os 2.83, 4 Se 2.94
4 Se 0.0000 0.5000 0.3297 [2 per cell]  2 Os 2.45

***

Record 4
Here is a geometry-optimized OsPt2Se structure from Alexandria via LeMat-Bulk. Energies are from PBE-GGA.

Fermi-level density of states, states/eV/cell: 9.063
Uncorrected formation energy, kJ per mole of atoms: 46.6

Lattice parameters (Å, degrees): 2.8469 4.7134 9.5140 90.00 90.00 90.00
With the nearest neighbours (Å) after each atom.
Space group Immm (No. 71)
Inequivalent atoms, fractional coordinates:
1 Os 0.0000 0.0000 0.0000 [2 per cell]  4 Se 2.75, 4 Pt 2.75, 2 Os 2.85
2 Pt 0.0000 0.5000 0.2522 [4 per cell]  6 Pt 2.75-2.85, 2 Os 2.75, 2 Se 2.79
3 Se 0.0000 0.0000 0.5000 [2 per cell]  4 Os 2.75, 4 Pt 2.79, 2 Se 2.85

***

Record 5
Here is a geometry-optimized OsPtSe3 structure from Alexandria via LeMat-Bulk. Energies are from PBE-GGA.

Fermi-level density of states, states/eV/cell: 6.883
Uncorrected formation energy, kJ per mole of atoms: 142.9

Lattice parameters (Å, degrees): 4.8359 4.8359 4.8359 90.00 90.00 90.00
With the nearest neighbours (Å) after each atom.
Space group Pm-3m (No. 221)
Inequivalent atoms, fractional coordinates:
1 Os 0.0000 0.0000 0.0000 [1 per cell]  12 Se 3.42
2 Pt 0.5000 0.5000 0.5000 [1 per cell]  6 Se 2.42
3 Se 0.0000 0.5000 0.5000 [3 per cell]  2 Pt 2.42

***

Record 6
Here is a geometry-optimized OsPt2Se structure from Alexandria via LeMat-Bulk. Energies are from PBE-GGA.

Fermi-level density of states, states/eV/cell: 8.224
Uncorrected formation energy, kJ per mole of atoms: 43.7

Lattice parameters (Å, degrees): 5.4640 8.2048 2.8170 90.00 90.00 90.00
With the nearest neighbours (Å) after each atom.
Space group Cmmm (No. 65)
Inequivalent atoms, fractional coordinates:
1 Os 0.0000 0.0000 0.0000 [2 per cell]  2 Se 2.73, 2 Os 2.82, 8 Pt 2.84
2 Pt 0.2500 0.2500 0.5000 [4 per cell]  4 Pt 2.73-2.82, 4 Se 2.84, 4 Os 2.84
3 Se 0.0000 0.5000 0.0000 [2 per cell]  2 Os 2.73, 2 Se 2.82, 8 Pt 2.84

***

Record 7
Here is a geometry-optimized OsPt2Se structure from Alexandria via LeMat-Bulk. Energies are from PBE-GGA.

Fermi-level density of states, states/eV/cell: 5.260
Uncorrected formation energy, kJ per mole of atoms: 50.3

Lattice parameters (Å, degrees): 2.8379 4.6930 4.7909 90.00 90.00 90.00
With the nearest neighbours (Å) after each atom.
Space group Pmmm (No. 47)
Inequivalent atoms, fractional coordinates:
1 Os 0.0000 0.0000 0.0000 [1 per cell]  4 Se 2.74, 4 Pt 2.78, 2 Os 2.84
2 Pt 0.0000 0.5000 0.5000 [1 per cell]  6 Pt 2.74-2.84, 4 Se 2.78
3 Pt 0.5000 0.0000 0.5000 [1 per cell]  6 Pt 2.74-2.84, 4 Os 2.78
4 Se 0.5000 0.5000 0.0000 [1 per cell]  4 Os 2.74, 4 Pt 2.78, 2 Se 2.84

***

Record 8
Here is a geometry-optimized OsPt2Se structure from Alexandria via LeMat-Bulk. Energies are from PBE-GGA.

Fermi-level density of states, states/eV/cell: 4.436
Uncorrected formation energy, kJ per mole of atoms: 58.7

Lattice parameters (Å, degrees): 3.8982 3.8982 4.1801 90.00 90.00 90.00
With the nearest neighbours (Å) after each atom.
Space group P4/mmm (No. 123)
Inequivalent atoms, fractional coordinates:
1 Os 0.0000 0.0000 0.0000 [1 per cell]  4 Se 2.76, 8 Pt 2.86
2 Pt 0.0000 0.5000 0.5000 [2 per cell]  4 Pt 2.76, 4 Se 2.86, 4 Os 2.86
3 Se 0.5000 0.5000 0.0000 [1 per cell]  4 Os 2.76, 8 Pt 2.86

***

Record 9
Here is a geometry-optimized OsPt2Se structure from Alexandria via LeMat-Bulk. Energies are from PBE-GGA.

Fermi-level density of states, states/eV/cell: 5.376
Uncorrected formation energy, kJ per mole of atoms: 31.5

Lattice parameters (Å, degrees): 2.8177 2.8177 8.2060 90.00 90.00 90.00
With the nearest neighbours (Å) after each atom.
Space group P4/mmm (No. 123)
Inequivalent atoms, fractional coordinates:
1 Os 0.0000 0.0000 0.0000 [1 per cell]  8 Pt 2.73, 4 Os 2.82
2 Pt 0.5000 0.5000 0.2277 [2 per cell]  4 Os 2.73, 4 Pt 2.82, 4 Se 2.99
3 Se 0.0000 0.0000 0.5000 [1 per cell]  4 Se 2.82, 8 Pt 2.99

***

Record 10
Here is a geometry-optimized OsPt2Se structure from Alexandria via LeMat-Bulk. Energies are from PBE-GGA.

Fermi-level density of states, states/eV/cell: 4.084
Uncorrected formation energy, kJ per mole of atoms: 39.7

Lattice parameters (Å, degrees): 2.8805 3.7572 5.9044 90.00 90.00 90.00
With the nearest neighbours (Å) after each atom.
Space group Pmm2 (No. 25)
Inequivalent atoms, fractional coordinates:
1 Os 0.0000 0.0000 0.0000 [1 per cell]  4 Se 2.62, 5 Pt 2.81-2.94, 2 Os 2.88
2 Pt 0.0000 0.0000 0.5023 [1 per cell]  6 Pt 2.78-2.88, 2 Os 2.94-2.97, 4 Se 2.98
3 Pt 0.5000 0.5000 0.2563 [1 per cell]  1 Se 2.65, 6 Pt 2.78-2.88, 4 Os 2.81
4 Se 0.5000 0.5000 0.8080 [1 per cell]  4 Os 2.62, 1 Pt 2.65, 2 Se 2.88

***

Record 11
Here is a geometry-optimized OsPt2Se structure from Alexandria via LeMat-Bulk. Energies are from PBE-GGA.

Fermi-level density of states, states/eV/cell: 8.513
Uncorrected formation energy, kJ per mole of atoms: 33.2

Lattice parameters (Å, degrees): 9.5051 2.8865 4.9593 90.00 101.16 90.00
With the nearest neighbours (Å) after each atom.
Space group Cm (No. 8)
Inequivalent atoms, fractional coordinates:
1 Os 0.0000 0.0000 0.0000 [2 per cell]  2 Se 2.45, 4 Pt 2.71-2.73
2 Pt 0.2608 0.0000 0.7840 [2 per cell]  3 Os 2.73-2.88, 5 Pt 2.78-2.93, 4 Se 2.93-2.96
3 Pt 0.4993 0.0000 0.5368 [2 per cell]  1 Se 2.49, 2 Os 2.71, 1 Pt 2.78
4 Se 0.1888 0.5000 0.2533 [2 per cell]  2 Os 2.45, 1 Pt 2.49

***

Record 12
Here is a geometry-optimized OsPt2Se structure from Alexandria via LeMat-Bulk. Energies are from PBE-GGA.

Fermi-level density of states, states/eV/cell: 3.204
Uncorrected formation energy, kJ per mole of atoms: 47.0

Lattice parameters (Å, degrees): 4.8684 4.8684 2.7255 90.00 90.00 90.00
With the nearest neighbours (Å) after each atom.
Space group P4/mmm (No. 123)
Inequivalent atoms, fractional coordinates:
1 Os 0.0000 0.0000 0.0000 [1 per cell]  2 Os 2.73, 8 Pt 2.79
2 Pt 0.0000 0.5000 0.5000 [2 per cell]  2 Pt 2.73, 4 Se 2.79, 4 Os 2.79
3 Se 0.5000 0.5000 0.0000 [1 per cell]  2 Se 2.73, 8 Pt 2.79

***

Record 13
Here is a geometry-optimized OsPt2Se structure from Alexandria via LeMat-Bulk. Energies are from PBE-GGA.

Fermi-level density of states, states/eV/cell: 7.338
Uncorrected formation energy, kJ per mole of atoms: 38.3

Lattice parameters (Å, degrees): 4.1968 2.9320 10.3568 90.00 90.00 90.00
With the nearest neighbours (Å) after each atom.
Space group Amm2 (No. 38)
Inequivalent atoms, fractional coordinates:
1 Os 0.0000 0.0000 0.0000 [2 per cell]  2 Se 2.46, 1 Pt 2.70
2 Pt 0.0000 0.0000 0.2602 [2 per cell]  3 Os 2.70-2.88, 4 Se 2.83, 6 Pt 2.93-2.95
3 Pt 0.5000 0.0000 0.6186 [2 per cell]  3 Se 2.66-2.91, 4 Os 2.84, 6 Pt 2.93-2.95
4 Se 0.5000 0.0000 0.8757 [2 per cell]  2 Os 2.46, 1 Pt 2.66